[1]
## Tb3AgH (PBE-GGA)

Data for a relaxed structure of Tb3AgH.

The value obtained for the size of the total moment is 0.960 Bohr magnetons per cell. The uncorrected energy is -20.80 eV/cell.

It has space group Pm-3m (No. 221), with a = 4.819 Å, b = 4.819 Å, c = 4.819 Å, α = 90.00°, β = 90.00° and γ = 90.00°. The asymmetric unit holds Tb at (0.000, 0.000, 0.500), Ag at (0.500, 0.500, 0.500) and H at (0.000, 0.000, 0.000).

---

[2]
## La2TlSn (PBE-GGA)

Data for a relaxed structure of La2TlSn.

The value obtained for the size of the total moment is 0.000 Bohr magnetons per cell. The uncorrected energy is -53.56 eV/cell. The calculation puts the calculated formation energy at -407 meV/atom.

It has space group R-3m (No. 166, hexagonal axes), with a = 4.6135 Å, b = 4.6135 Å, c = 23.6558 Å, α = 90.00°, β = 90.00° and γ = 120.00°. The asymmetric unit holds La at (0.0000, 0.0000, 0.2420), Tl at (0.0000, 0.0000, 0.0000) and Sn at (0.0000, 0.0000, 0.5000).

---

[3]
## Ba2InGa4Pt3 (PBE-GGA)

Data for a relaxed structure of Ba2InGa4Pt3.

The value obtained for the size of the total moment is 0.000 Bohr magnetons per cell. The uncorrected energy is -43.70 eV/cell. The calculation puts the calculated formation energy at -688 meV/atom.

It has space group P-4m2 (No. 115), with a = 4.529 Å, b = 4.529 Å, c = 11.014 Å, α = 90.00°, β = 90.00° and γ = 90.00°. The asymmetric unit holds Ba at (0.000, 0.500, 0.243), In at (0.000, 0.000, 0.500), Ga at (0.000, 0.000, 0.000), Ga at (0.000, 0.500, 0.642), Ga at (0.500, 0.500, 0.000), Pt at (0.000, 0.500, 0.882) and Pt at (0.500, 0.500, 0.500).

---

[4]
## CsScBi2 (PBE-GGA)

Data for a relaxed structure of CsScBi2.

The value obtained for the size of the total moment is 0.001 Bohr magnetons per cell. The uncorrected energy is -59.42 eV/cell. For the distance to the lowest polymorph of the same formula, the calculation gives 432.4 meV/atom. The calculation puts the calculated formation energy at 23 meV/atom.

It has space group Fm-3m (No. 225), with a = 8.148 Å, b = 8.148 Å, c = 8.148 Å, α = 90.00°, β = 90.00° and γ = 90.00°. The asymmetric unit holds Cs at (0.000, 0.000, 0.000), Sc at (0.000, 0.000, 0.500) and Bi at (0.250, 0.250, 0.250).

---

[5]
## Ce2InAs (PBE-GGA)

Data for a relaxed structure of Ce2InAs.

The value obtained for the size of the total moment is 4.638 Bohr magnetons per cell. The uncorrected energy is -66.60 eV/cell. For the distance to the lowest polymorph of the same formula, the calculation gives 0.0 meV/atom. The calculation puts the calculated formation energy at -736 meV/atom.

It has space group R-3m (No. 166, hexagonal axes), with a = 4.0960 Å, b = 4.0960 Å, c = 24.3928 Å, α = 90.00°, β = 90.00° and γ = 120.00°. The asymmetric unit holds Ce at (0.0000, 0.0000, 0.2379), In at (0.0000, 0.0000, 0.0000) and As at (0.0000, 0.0000, 0.5000).

---

[6]
## Mg3Cu5Te12 (PBE-GGA)

Data for a relaxed structure of Mg3Cu5Te12.

The value obtained for the size of the total moment is 0.000 Bohr magnetons per cell. The formation energy without anion corrections comes out at -1.64 eV per formula unit. The uncorrected energy is -516.80 eV/cell.

It has space group Ia-3d (No. 230), with a = 16.624 Å, b = 16.624 Å, c = 16.624 Å, α = 90.00°, β = 90.00° and γ = 90.00°. The asymmetric unit holds Mg at (0.000, 0.250, 0.125), Cu at (0.000, 0.000, 0.000), Cu at (0.000, 0.250, 0.375) and Te at (0.015, 0.046, 0.655).

---

[7]
## CeGdMgPb (PBE-GGA)

Data for a relaxed structure of CeGdMgPb.

The value obtained for the size of the total moment is 34.842 Bohr magnetons per cell. The uncorrected energy is -105.04 eV/cell. The calculation puts the calculated formation energy at -236 meV/atom.

It has space group F-43m (No. 216), with a = 7.718 Å, b = 7.718 Å, c = 7.718 Å, α = 90.00°, β = 90.00° and γ = 90.00°. The asymmetric unit holds Ce at (0.000, 0.000, 0.000), Gd at (0.000, 0.000, 0.500), Mg at (0.250, 0.250, 0.750) and Pb at (0.250, 0.250, 0.250).

---

[8]
## CdIn7Hg12 (PBE-GGA)

Data for a relaxed structure of CdIn7Hg12.

The value obtained for the size of the total moment is 0.000 Bohr magnetons per cell. The uncorrected energy is -69.55 eV/cell. For the distance to the lowest polymorph of the same formula, the calculation gives 0.0 meV/atom. The calculation puts the calculated formation energy at 26 meV/atom.

It has space group R-3 (No. 148, hexagonal axes), with a = 14.4754 Å, b = 14.4754 Å, c = 9.0030 Å, α = 90.00°, β = 90.00° and γ = 120.00°. The asymmetric unit holds Cd at (0.0000, 0.0000, 0.0000), In at (0.0000, 0.0000, 0.5000), In at (0.0074, 0.1688, 0.7664), Hg at (0.0134, 0.7729, 0.9012) and Hg at (0.0544, 0.2503, 0.4397).

---

[9]
## BeCdP2 (PBE-GGA)

Data for a relaxed structure of BeCdP2.

The value obtained for the size of the total moment is 0.000 Bohr magnetons per cell. The uncorrected energy is -28.01 eV/cell. For the distance to the lowest polymorph of the same formula, the calculation gives 295.6 meV/atom. The calculation puts the calculated formation energy at 364 meV/atom.

It has space group Immm (No. 71), with a = 3.459 Å, b = 5.269 Å, c = 7.500 Å, α = 90.00°, β = 90.00° and γ = 90.00°. The asymmetric unit holds Be at (0.000, 0.000, 0.000), Cd at (0.000, 0.000, 0.500) and P at (0.000, 0.500, 0.327).

---

[10]
## Te3Rh2Se (PBE-GGA)

Data for a relaxed structure of Te3Rh2Se.

The value obtained for the size of the total moment is 0.000 Bohr magnetons per cell. The formation energy without anion corrections comes out at -2.28 eV per formula unit. The uncorrected energy is -119.58 eV/cell.

It has space group C2/m (No. 12), with a = 12.651 Å, b = 3.901 Å, c = 12.771 Å, α = 90.00°, β = 116.17° and γ = 90.00°. The asymmetric unit holds Te at (0.112, 0.000, 0.225), Te at (0.143, 0.000, 0.520), Te at (0.143, 0.500, 0.015), Rh at (0.120, 0.000, 0.866), Rh at (0.123, 0.500, 0.370) and Se at (0.101, 0.500, 0.731).

---

[11]
## HfSc5Ni6 (PBE-GGA)

Data for a relaxed structure of HfSc5Ni6.

The value obtained for the size of the total moment is 0.000 Bohr magnetons per cell. The uncorrected energy is -164.51 eV/cell. The calculation puts the calculated formation energy at -496 meV/atom.

It has space group C2/m (No. 12), with a = 14.219 Å, b = 6.316 Å, c = 4.498 Å, α = 90.00°, β = 108.29° and γ = 90.00°. The asymmetric unit holds Hf at (0.000, 0.000, 0.000), Sc at (0.000, 0.500, 0.000), Sc at (0.166, 0.500, 0.665), Sc at (0.170, 0.000, 0.670), Ni at (0.000, 0.236, 0.500) and Ni at (0.162, 0.244, 0.161).

---

[12]
## Dy3Th3In2Tc (PBE-GGA)

Data for a relaxed structure of Dy3Th3In2Tc.

The value obtained for the size of the total moment is 0.000 Bohr magnetons per cell. The uncorrected energy is -54.40 eV/cell. The calculation puts the calculated formation energy at -277 meV/atom.

It has space group P-62m (No. 189), with a = 8.7685 Å, b = 8.7685 Å, c = 3.8266 Å, α = 90.00°, β = 90.00° and γ = 120.00°. The asymmetric unit holds Dy at (0.0000, 0.3965, 0.0000), Th at (0.0000, 0.7547, 0.5000), In at (0.3333, 0.6667, 0.5000) and Tc at (0.0000, 0.0000, 0.0000).

---

[13]
## SrCaPrSbO6 (PBE-GGA)

Data for a relaxed structure of SrCaPrSbO6.

The value obtained for the size of the total moment is 0.000 Bohr magnetons per cell. The formation energy without anion corrections comes out at -25.22 eV per formula unit. The uncorrected energy is -135.12 eV/cell. For the distance to the lowest polymorph of the same formula, the calculation gives 68.4 meV/atom.

It has space group P42_12 (No. 90), with a = 5.922 Å, b = 5.922 Å, c = 8.597 Å, α = 90.00°, β = 90.00° and γ = 90.00°. The asymmetric unit holds Sr at (0.000, 0.000, 0.000), Ca at (0.000, 0.000, 0.500), Pr at (0.000, 0.500, 0.252), Sb at (0.000, 0.500, 0.745), O at (0.000, 0.500, 0.514), O at (0.000, 0.500, 0.980) and O at (0.152, 0.196, 0.743).

---

[14]
## SiTeMo (PBE-GGA)

Data for a relaxed structure of SiTeMo.

The value obtained for the size of the total moment is 0.000 Bohr magnetons per cell. The formation energy without anion corrections comes out at 0.65 eV per formula unit. The uncorrected energy is -37.50 eV/cell. For the distance to the lowest polymorph of the same formula, the calculation gives 134.4 meV/atom.

It has space group Cm (No. 8), with a = 8.102 Å, b = 3.556 Å, c = 4.995 Å, α = 90.00°, β = 119.13° and γ = 90.00°. The asymmetric unit holds Si at (0.000, 0.000, 0.000), Te at (0.461, 0.000, 0.517) and Mo at (0.266, 0.000, 0.892).

---

[15]
## Tb2NdErAg4 (PBE-GGA)

Data for a relaxed structure of Tb2NdErAg4.

The value obtained for the size of the total moment is 0.000 Bohr magnetons per cell. The uncorrected energy is -97.16 eV/cell. The calculation puts the calculated formation energy at -299 meV/atom.

It has space group R-3m (No. 166, hexagonal axes), with a = 5.1807 Å, b = 5.1807 Å, c = 25.5078 Å, α = 90.00°, β = 90.00° and γ = 120.00°. The asymmetric unit holds Tb at (0.0000, 0.0000, 0.2488), Nd at (0.0000, 0.0000, 0.0000), Er at (0.0000, 0.0000, 0.5000), Ag at (0.0000, 0.0000, 0.1272) and Ag at (0.0000, 0.0000, 0.3788).

---

[16]
## BeZnSe2 (PBE-GGA)

Data for a relaxed structure of BeZnSe2.

The value obtained for the size of the total moment is 0.000 Bohr magnetons per cell. The formation energy without anion corrections comes out at 1.31 eV per formula unit. The uncorrected energy is -10.66 eV/cell. For the distance to the lowest polymorph of the same formula, the calculation gives 1072.6 meV/atom.

It has space group P4/mmm (No. 123), with a = 3.158 Å, b = 3.158 Å, c = 6.829 Å, α = 90.00°, β = 90.00° and γ = 90.00°. The asymmetric unit holds Be at (0.000, 0.000, 0.000), Zn at (0.000, 0.000, 0.500) and Se at (0.500, 0.500, 0.220).

---

[17]
## Hf2S (PBE-GGA)

Data for a relaxed structure of Hf2S.

The value obtained for the size of the total moment is 0.000 Bohr magnetons per cell. The formation energy without anion corrections comes out at -3.10 eV per formula unit. The uncorrected energy is -54.26 eV/cell.

It has space group P6_3/mmc (No. 194), with a = 3.3811 Å, b = 3.3811 Å, c = 11.8165 Å, α = 90.00°, β = 90.00° and γ = 120.00°. The asymmetric unit holds Hf at (0.3333, 0.6667, 0.1004) and S at (0.0000, 0.0000, 0.2500).